No. 1
! PBE Pm12Sn6H, optimized geometry; values from VASP
! Density of states at the Fermi level, states/eV/cell: 21.14
! Theoretical density, g/cm3: 6.52
! Raw total energy, eV/atom: -4.7993
! Symmetry: R-3 (148)
! V, Å³/f.u.: 625
&SYSTEM
  ibrav = 0, nat = 19, ntyp = 3
/
ATOMIC_SPECIES
Pm 145.00 Pm.upf
Sn 118.71 Sn.upf
H 1.01 H.upf
CELL_PARAMETERS angstrom
6.645 3.837 4.087
-6.645 3.837 4.087
0.000 -7.673 4.087
ATOMIC_POSITIONS crystal
Pm 0.008 0.690 0.936
Pm 0.064 0.992 0.310
Pm 0.191 0.423 0.551
Pm 0.310 0.064 0.992
Pm 0.423 0.551 0.191
Pm 0.449 0.809 0.577
Pm 0.551 0.191 0.423
Pm 0.577 0.449 0.809
Pm 0.690 0.936 0.008
Pm 0.809 0.577 0.449
Pm 0.936 0.008 0.690
Pm 0.992 0.310 0.064
Sn 0.121 0.647 0.304
Sn 0.304 0.121 0.647
Sn 0.353 0.696 0.879
Sn 0.647 0.304 0.121
Sn 0.696 0.879 0.353
Sn 0.879 0.353 0.696
H 0.000 0.000 0.000


No. 2
! PBE Pu2AgAs, optimized geometry; values from VASP
! Density of states at the Fermi level, states/eV/cell: 14.26
! Theoretical density, g/cm3: 11.84
! Raw total energy, eV/atom: -9.4725
! Symmetry: P4/mmm (123)
! V, Å³/f.u.: 94
! ΔE_f, eV/f.u.: -1.73
&SYSTEM
  ibrav = 0, nat = 4, ntyp = 3
/
ATOMIC_SPECIES
Pu 244.00 Pu.upf
Ag 107.87 Ag.upf
As 74.92 As.upf
CELL_PARAMETERS angstrom
3.625 0.000 0.000
0.000 3.625 0.000
0.000 0.000 7.159
ATOMIC_POSITIONS crystal
Pu 0.000 0.000 0.222
Pu 0.000 0.000 0.778
Ag 0.500 0.500 0.500
As 0.500 0.500 0.000


Copy entry 2 word for word.
! PBE Pu2AgAs, optimized geometry; values from VASP
! Density of states at the Fermi level, states/eV/cell: 14.26
! Theoretical density, g/cm3: 11.84
! Raw total energy, eV/atom: -9.4725
! Symmetry: P4/mmm (123)
! V, Å³/f.u.: 94
! ΔE_f, eV/f.u.: -1.73
&SYSTEM
  ibrav = 0, nat = 4, ntyp = 3
/
ATOMIC_SPECIES
Pu 244.00 Pu.upf
Ag 107.87 Ag.upf
As 74.92 As.upf
CELL_PARAMETERS angstrom
3.625 0.000 0.000
0.000 3.625 0.000
0.000 0.000 7.159
ATOMIC_POSITIONS crystal
Pu 0.000 0.000 0.222
Pu 0.000 0.000 0.778
Ag 0.500 0.500 0.500
As 0.500 0.500 0.000


> Which of these has the highest raw total energy?

Pm12Sn6H


> Look up the density of states at the Fermi level of the second one.

14.26 states/eV/cell